[1]
Compound: Dy2Hg3Pd2
Source: Alexandria via LeMat-Bulk
Functional: PBE
Structure: optimized geometry

symmetry: No. 12
ΔE_f: -0.55 eV/atom
offset from the most stable computed form: 27 meV/atom
Fermi-level density of states: 2.9 states/eV/cell
spin magnetization: 0.00 μB per formula unit

Cell: 5.557 5.557 7.687 Å, 93.85 93.85 41.84°
Sites, in units of the cell vectors:
Dy  0.118  0.118  0.344
Dy  0.882  0.882  0.656
Hg  0.200  0.200  0.858
Hg  0.500  0.500  0.000
Hg  0.800  0.800  0.142
Pd  0.404  0.404  0.372
Pd  0.596  0.596  0.628

[2]
Compound: Dy3HgPd4
Source: Alexandria via LeMat-Bulk
Functional: PBE
Structure: optimized geometry

symmetry: No. 44
ΔE_f: -0.51 eV/atom
offset from the most stable computed form: 272 meV/atom
Fermi-level density of states: 5.7 states/eV/cell
spin magnetization: 0.00 μB per formula unit

Cell: 6.429 6.429 6.429 Å, 131.21 105.99 93.77°
Sites, in units of the cell vectors:
Dy  0.000  0.000  0.000
Dy  0.121  0.354  0.767
Dy  0.587  0.354  0.233
Hg  0.436  0.936  0.500
Pd  0.330  0.656  0.675
Pd  0.704  0.462  0.758
Pd  0.704  0.947  0.242
Pd  0.981  0.656  0.325

[3]
Compound: DyHg5Pd6
Source: Alexandria via LeMat-Bulk
Functional: PBE
Structure: optimized geometry

symmetry: No. 10
ΔE_f: -0.34 eV/atom
Fermi-level density of states: 3.6 states/eV/cell
spin magnetization: 0.00 μB per formula unit

Cell: 4.874 6.362 7.221 Å, 90.00 97.48 90.00°
Sites, in units of the cell vectors:
Dy  0.000  0.000  0.000
Hg  0.000  0.500  0.000
Hg  0.345  0.500  0.668
Hg  0.351  0.000  0.669
Hg  0.649  0.000  0.331
Hg  0.655  0.500  0.332
Pd  0.152  0.251  0.335
Pd  0.152  0.749  0.335
Pd  0.500  0.256  0.000
Pd  0.500  0.744  0.000
Pd  0.848  0.251  0.665
Pd  0.848  0.749  0.665